Entry 1:
# CsSnF3, relaxed, DFT GGA-PBE
data_CsSnF3
_chemical_formula_sum 'Cs4 Sn4 F12'
_cell_length_a 8.229
_cell_length_b 8.229
_cell_length_c 8.018
_cell_angle_alpha 100.06
_cell_angle_beta 100.06
_cell_angle_gamma 100.44
_symmetry_space_group_name_H-M 'P 1'
_symmetry_Int_Tables_number 1
loop_
_symmetry_equiv_pos_as_xyz
'x,y,z'
loop_
_atom_site_label
_atom_site_type_symbol
_atom_site_fract_x
_atom_site_fract_y
_atom_site_fract_z
Cs1 Cs 0.053 0.947 0.750
Cs2 Cs 0.324 0.676 0.250
Cs3 Cs 0.676 0.324 0.750
Cs4 Cs 0.947 0.053 0.250
Sn1 Sn 0.189 0.460 0.681
Sn2 Sn 0.460 0.189 0.181
Sn3 Sn 0.540 0.811 0.819
Sn4 Sn 0.811 0.540 0.319
F1 F 0.017 0.745 0.392
F2 F 0.061 0.593 0.835
F3 F 0.255 0.983 0.108
F4 F 0.293 0.354 0.876
F5 F 0.354 0.293 0.376
F6 F 0.407 0.939 0.665
F7 F 0.593 0.061 0.335
F8 F 0.646 0.707 0.624
F9 F 0.707 0.646 0.124
F10 F 0.745 0.017 0.892
F11 F 0.939 0.407 0.165
F12 F 0.983 0.255 0.608
# Density   4.0 g/cm³
# Uncorrected formation energy   -2.51 eV/atom

***

Entry 2:
# KSeCl2, relaxed, DFT GGA-PBE
data_KSeCl2
_chemical_formula_sum 'K1 Se1 Cl2'
_cell_length_a 4.838
_cell_length_b 4.838
_cell_length_c 5.949
_cell_angle_alpha 90.00
_cell_angle_beta 90.00
_cell_angle_gamma 90.00
_symmetry_space_group_name_H-M 'P 1'
_symmetry_Int_Tables_number 1
loop_
_symmetry_equiv_pos_as_xyz
'x,y,z'
loop_
_atom_site_label
_atom_site_type_symbol
_atom_site_fract_x
_atom_site_fract_y
_atom_site_fract_z
K1 K 0.000 0.000 0.000
Se1 Se 0.500 0.500 0.319
Cl1 Cl 0.000 0.000 0.497
Cl2 Cl 0.500 0.500 0.945
# Energy relative to the lowest polymorph listed for this composition   93 kJ/mol of formula units
# Density   2.3 g/cm³
# Uncorrected formation energy   -0.61 eV/atom

***

Entry 3:
# LiAg4Sn3Se8, relaxed, DFT GGA-PBE
data_LiAg4Sn3Se8
_chemical_formula_sum 'Li1 Ag4 Sn3 Se8'
_cell_length_a 7.985
_cell_length_b 7.985
_cell_length_c 8.031
_cell_angle_alpha 119.98
_cell_angle_beta 119.98
_cell_angle_gamma 60.02
_symmetry_space_group_name_H-M 'P 1'
_symmetry_Int_Tables_number 1
loop_
_symmetry_equiv_pos_as_xyz
'x,y,z'
loop_
_atom_site_label
_atom_site_type_symbol
_atom_site_fract_x
_atom_site_fract_y
_atom_site_fract_z
Li1 Li 0.000 0.000 0.000
Ag1 Ag 0.000 0.000 0.500
Ag2 Ag 0.000 0.500 0.500
Ag3 Ag 0.500 0.000 0.500
Ag4 Ag 0.500 0.500 0.500
Sn1 Sn 0.000 0.500 0.000
Sn2 Sn 0.500 0.000 0.000
Sn3 Sn 0.500 0.500 0.000
Se1 Se 0.245 0.752 0.242
Se2 Se 0.248 0.248 0.746
Se3 Se 0.248 0.755 0.758
Se4 Se 0.252 0.252 0.249
Se5 Se 0.748 0.748 0.751
Se6 Se 0.752 0.245 0.242
Se7 Se 0.752 0.752 0.254
Se8 Se 0.755 0.248 0.758
# Density   6.5 g/cm³
# Uncorrected formation energy   -0.32 eV/atom

***

Entry 4:
# HfVH, relaxed, DFT GGA-PBE
data_HfVH
_chemical_formula_sum 'Hf2 V2 H2'
_cell_length_a 5.644
_cell_length_b 5.644
_cell_length_c 4.782
_cell_angle_alpha 114.97
_cell_angle_beta 114.97
_cell_angle_gamma 33.78
_symmetry_space_group_name_H-M 'P 1'
_symmetry_Int_Tables_number 1
loop_
_symmetry_equiv_pos_as_xyz
'x,y,z'
loop_
_atom_site_label
_atom_site_type_symbol
_atom_site_fract_x
_atom_site_fract_y
_atom_site_fract_z
Hf1 Hf 0.113 0.113 0.358
Hf2 Hf 0.887 0.887 0.642
V1 V 0.366 0.366 0.114
V2 V 0.634 0.634 0.886
H1 H 0.188 0.188 0.831
H2 H 0.812 0.812 0.169
# Energy relative to the lowest polymorph listed for this composition   0 kJ/mol of formula units
# Density   10.1 g/cm³

***

Entry 5:
# YAlTcW2, relaxed, DFT GGA-PBE
data_YAlTcW2
_chemical_formula_sum 'Y1 Al1 Tc1 W2'
_cell_length_a 4.720
_cell_length_b 4.720
_cell_length_c 5.223
_cell_angle_alpha 90.00
_cell_angle_beta 90.00
_cell_angle_gamma 90.00
_symmetry_space_group_name_H-M 'P 1'
_symmetry_Int_Tables_number 1
loop_
_symmetry_equiv_pos_as_xyz
'x,y,z'
loop_
_atom_site_label
_atom_site_type_symbol
_atom_site_fract_x
_atom_site_fract_y
_atom_site_fract_z
Y1 Y 0.000 0.000 0.000
Al1 Al 0.500 0.500 0.000
Tc1 Tc 0.000 0.000 0.500
W1 W 0.000 0.500 0.500
W2 W 0.500 0.000 0.500
# Density   8.3 g/cm³
# Formation enthalpy at 0 K   1.290 eV/atom

***

Entry 6:
# La3Pm7Er, relaxed, DFT GGA-PBE
data_La3Pm7Er
_chemical_formula_sum 'La3 Pm7 Er1'
_cell_length_a 8.634
_cell_length_b 8.634
_cell_length_c 5.992
_cell_angle_alpha 110.28
_cell_angle_beta 110.28
_cell_angle_gamma 82.76
_symmetry_space_group_name_H-M 'P 1'
_symmetry_Int_Tables_number 1
loop_
_symmetry_equiv_pos_as_xyz
'x,y,z'
loop_
_atom_site_label
_atom_site_type_symbol
_atom_site_fract_x
_atom_site_fract_y
_atom_site_fract_z
La1 La 0.000 0.000 0.000
La2 La 0.213 0.787 0.500
La3 La 0.787 0.213 0.500
Pm1 Pm 0.006 0.597 0.802
Pm2 Pm 0.209 0.209 0.708
Pm3 Pm 0.403 0.994 0.198
Pm4 Pm 0.500 0.500 0.500
Pm5 Pm 0.597 0.006 0.802
Pm6 Pm 0.791 0.791 0.292
Pm7 Pm 0.994 0.403 0.198
Er1 Er 0.500 0.500 0.000
# Energy relative to the lowest polymorph listed for this composition   17 kJ/mol of formula units
# Density   6.8 g/cm³
# Formation enthalpy at 0 K   0.236 eV/atom

***

Entry 7:
# AcDy6, relaxed, DFT GGA-PBE
data_AcDy6
_chemical_formula_sum 'Ac1 Dy6'
_cell_length_a 7.039
_cell_length_b 7.039
_cell_length_c 7.039
_cell_angle_alpha 109.47
_cell_angle_beta 109.47
_cell_angle_gamma 109.47
_symmetry_space_group_name_H-M 'P 1'
_symmetry_Int_Tables_number 1
loop_
_symmetry_equiv_pos_as_xyz
'x,y,z'
loop_
_atom_site_label
_atom_site_type_symbol
_atom_site_fract_x
_atom_site_fract_y
_atom_site_fract_z
Ac1 Ac 0.000 0.000 0.000
Dy1 Dy 0.250 0.500 0.750
Dy2 Dy 0.250 0.750 0.500
Dy3 Dy 0.500 0.250 0.750
Dy4 Dy 0.500 0.750 0.250
Dy5 Dy 0.750 0.250 0.500
Dy6 Dy 0.750 0.500 0.250
# Density   7.4 g/cm³
# Formation enthalpy at 0 K   1.261 eV/atom

***

Entry 8:
# Np3Ga4Cu2, relaxed, DFT GGA-PBE
data_Np3Ga4Cu2
_chemical_formula_sum 'Np3 Ga4 Cu2'
_cell_length_a 5.621
_cell_length_b 5.621
_cell_length_c 7.660
_cell_angle_alpha 93.56
_cell_angle_beta 93.56
_cell_angle_gamma 43.61
_symmetry_space_group_name_H-M 'P 1'
_symmetry_Int_Tables_number 1
loop_
_symmetry_equiv_pos_as_xyz
'x,y,z'
loop_
_atom_site_label
_atom_site_type_symbol
_atom_site_fract_x
_atom_site_fract_y
_atom_site_fract_z
Np1 Np 0.000 0.000 0.000
Np2 Np 0.416 0.416 0.752
Np3 Np 0.584 0.584 0.248
Ga1 Ga 0.099 0.099 0.616
Ga2 Ga 0.293 0.293 0.099
Ga3 Ga 0.707 0.707 0.901
Ga4 Ga 0.901 0.901 0.384
Cu1 Cu 0.275 0.275 0.411
Cu2 Cu 0.725 0.725 0.589
# Density   11.1 g/cm³
# Formation enthalpy at 0 K   -0.039 eV/atom

***

Entry 9:
# MgSc2F, relaxed, DFT GGA-PBE
data_MgSc2F
_chemical_formula_sum 'Mg1 Sc2 F1'
_cell_length_a 4.917
_cell_length_b 4.917
_cell_length_c 4.917
_cell_angle_alpha 60.00
_cell_angle_beta 60.00
_cell_angle_gamma 60.00
_symmetry_space_group_name_H-M 'P 1'
_symmetry_Int_Tables_number 1
loop_
_symmetry_equiv_pos_as_xyz
'x,y,z'
loop_
_atom_site_label
_atom_site_type_symbol
_atom_site_fract_x
_atom_site_fract_y
_atom_site_fract_z
Mg1 Mg 0.000 0.000 0.000
Sc1 Sc 0.250 0.250 0.250
Sc2 Sc 0.750 0.750 0.750
F1 F 0.500 0.500 0.500
# Energy relative to the lowest polymorph listed for this composition   245 kJ/mol of formula units
# Density   2.6 g/cm³
# Uncorrected formation energy   -0.37 eV/atom

***

Entry 10:
# Mg4Pt2Br, relaxed, DFT GGA-PBE
data_Mg4Pt2Br
_chemical_formula_sum 'Mg4 Pt2 Br1'
_cell_length_a 7.683
_cell_length_b 7.683
_cell_length_c 7.683
_cell_angle_alpha 142.22
_cell_angle_beta 142.22
_cell_angle_gamma 54.50
_symmetry_space_group_name_H-M 'P 1'
_symmetry_Int_Tables_number 1
loop_
_symmetry_equiv_pos_as_xyz
'x,y,z'
loop_
_atom_site_label
_atom_site_type_symbol
_atom_site_fract_x
_atom_site_fract_y
_atom_site_fract_z
Mg1 Mg 0.000 0.500 0.500
Mg2 Mg 0.215 0.215 0.000
Mg3 Mg 0.500 0.000 0.500
Mg4 Mg 0.785 0.785 0.000
Pt1 Pt 0.401 0.401 0.000
Pt2 Pt 0.599 0.599 0.000
Br1 Br 0.000 0.000 0.000
# Density   5.6 g/cm³
# Uncorrected formation energy   -0.18 eV/atom

***

Entry 11:
# Sr3Ca3Ge4, relaxed, DFT GGA-PBE
data_Sr3Ca3Ge4
_chemical_formula_sum 'Sr3 Ca3 Ge4'
_cell_length_a 4.523
_cell_length_b 8.132
_cell_length_c 8.132
_cell_angle_alpha 89.46
_cell_angle_beta 90.00
_cell_angle_gamma 90.00
_symmetry_space_group_name_H-M 'P 1'
_symmetry_Int_Tables_number 1
loop_
_symmetry_equiv_pos_as_xyz
'x,y,z'
loop_
_atom_site_label
_atom_site_type_symbol
_atom_site_fract_x
_atom_site_fract_y
_atom_site_fract_z
Sr1 Sr 0.000 0.000 0.000
Sr2 Sr 0.500 0.333 0.829
Sr3 Sr 0.500 0.829 0.333
Ca1 Ca 0.000 0.165 0.497
Ca2 Ca 0.000 0.497 0.165
Ca3 Ca 0.000 0.664 0.664
Ge1 Ge 0.500 0.221 0.221
Ge2 Ge 0.500 0.447 0.447
Ge3 Ge 0.500 0.710 0.942
Ge4 Ge 0.500 0.942 0.710
# Density   3.7 g/cm³
# Formation enthalpy at 0 K   -0.501 eV/atom

***

Entry 12:
# Sm5HN4, relaxed, DFT GGA-PBE
data_Sm5HN4
_chemical_formula_sum 'Sm5 H1 N4'
_cell_length_a 9.555
_cell_length_b 9.555
_cell_length_c 9.555
_cell_angle_alpha 158.37
_cell_angle_beta 149.37
_cell_angle_gamma 37.81
_symmetry_space_group_name_H-M 'P 1'
_symmetry_Int_Tables_number 1
loop_
_symmetry_equiv_pos_as_xyz
'x,y,z'
loop_
_atom_site_label
_atom_site_type_symbol
_atom_site_fract_x
_atom_site_fract_y
_atom_site_fract_z
Sm1 Sm 0.000 0.000 0.000
Sm2 Sm 0.199 0.199 0.000
Sm3 Sm 0.390 0.390 0.000
Sm4 Sm 0.610 0.610 0.000
Sm5 Sm 0.801 0.801 0.000
H1 H 0.500 0.000 0.500
N1 N 0.099 0.599 0.500
N2 N 0.303 0.803 0.500
N3 N 0.697 0.197 0.500
N4 N 0.901 0.401 0.500
# Density   8.2 g/cm³
# E   -72.968 eV per cell

***

Entry 13:
# FeCo, relaxed, DFT GGA-PBE
data_FeCo
_chemical_formula_sum 'Fe2 Co2'
_cell_length_a 2.477
_cell_length_b 2.477
_cell_length_c 7.898
_cell_angle_alpha 90.00
_cell_angle_beta 90.00
_cell_angle_gamma 120.00
_symmetry_space_group_name_H-M 'P 1'
_symmetry_Int_Tables_number 1
loop_
_symmetry_equiv_pos_as_xyz
'x,y,z'
loop_
_atom_site_label
_atom_site_type_symbol
_atom_site_fract_x
_atom_site_fract_y
_atom_site_fract_z
Fe1 Fe 0.333 0.667 0.381
Fe2 Fe 0.667 0.333 0.619
Co1 Co 0.333 0.667 0.873
Co2 Co 0.667 0.333 0.127
# Density   9.1 g/cm³
# Formation enthalpy at 0 K   0.103 eV/atom

***

Entry 14:
# CsNaIn2, relaxed, DFT GGA-PBE
data_CsNaIn2
_chemical_formula_sum 'Cs2 Na2 In4'
_cell_length_a 12.304
_cell_length_b 12.304
_cell_length_c 12.304
_cell_angle_alpha 153.47
_cell_angle_beta 153.47
_cell_angle_gamma 37.87
_symmetry_space_group_name_H-M 'P 1'
_symmetry_Int_Tables_number 1
loop_
_symmetry_equiv_pos_as_xyz
'x,y,z'
loop_
_atom_site_label
_atom_site_type_symbol
_atom_site_fract_x
_atom_site_fract_y
_atom_site_fract_z
Cs1 Cs 0.000 0.000 0.000
Cs2 Cs 0.750 0.250 0.500
Na1 Na 0.250 0.750 0.500
Na2 Na 0.500 0.500 0.000
In1 In 0.303 0.625 0.178
In2 In 0.375 0.553 0.678
In3 In 0.447 0.125 0.822
In4 In 0.875 0.697 0.322
# Density   3.5 g/cm³
# Formation enthalpy at 0 K   0.068 eV/atom

***

Entry 15:
# Tl4InRh, relaxed, DFT GGA-PBE
data_Tl4InRh
_chemical_formula_sum 'Tl4 In1 Rh1'
_cell_length_a 6.180
_cell_length_b 6.180
_cell_length_c 6.180
_cell_angle_alpha 60.00
_cell_angle_beta 60.00
_cell_angle_gamma 60.00
_symmetry_space_group_name_H-M 'P 1'
_symmetry_Int_Tables_number 1
loop_
_symmetry_equiv_pos_as_xyz
'x,y,z'
loop_
_atom_site_label
_atom_site_type_symbol
_atom_site_fract_x
_atom_site_fract_y
_atom_site_fract_z
Tl1 Tl 0.376 0.376 0.376
Tl2 Tl 0.376 0.376 0.873
Tl3 Tl 0.376 0.873 0.376
Tl4 Tl 0.873 0.376 0.376
In1 In 0.000 0.000 0.000
Rh1 Rh 0.750 0.750 0.750
# Density   10.3 g/cm³
# Formation enthalpy at 0 K   0.537 eV/atom

***

Entry 16:
# K6AuI2O, relaxed, DFT GGA-PBE
data_K6AuI2O
_chemical_formula_sum 'K12 Au2 I4 O2'
_cell_length_a 16.400
_cell_length_b 16.400
_cell_length_c 16.400
_cell_angle_alpha 28.29
_cell_angle_beta 28.29
_cell_angle_gamma 28.29
_symmetry_space_group_name_H-M 'P 1'
_symmetry_Int_Tables_number 1
loop_
_symmetry_equiv_pos_as_xyz
'x,y,z'
loop_
_atom_site_label
_atom_site_type_symbol
_atom_site_fract_x
_atom_site_fract_y
_atom_site_fract_z
K1 K 0.119 0.119 0.662
K2 K 0.119 0.662 0.119
K3 K 0.223 0.688 0.688
K4 K 0.312 0.312 0.777
K5 K 0.312 0.777 0.312
K6 K 0.338 0.881 0.881
K7 K 0.662 0.119 0.119
K8 K 0.688 0.223 0.688
K9 K 0.688 0.688 0.223
K10 K 0.777 0.312 0.312
K11 K 0.881 0.338 0.881
K12 K 0.881 0.881 0.338
Au1 Au 0.088 0.088 0.088
Au2 Au 0.912 0.912 0.912
I1 I 0.190 0.190 0.190
I2 I 0.355 0.355 0.355
I3 I 0.645 0.645 0.645
I4 I 0.810 0.810 0.810
O1 O 0.000 0.000 0.000
O2 O 0.500 0.500 0.500
# Density   2.7 g/cm³
# Uncorrected formation energy   -0.91 eV/atom

***

Entry 17:
# TbGe2Pb, relaxed, DFT GGA-PBE
data_TbGe2Pb
_chemical_formula_sum 'Tb1 Ge2 Pb1'
_cell_length_a 7.866
_cell_length_b 7.866
_cell_length_c 7.866
_cell_angle_alpha 34.91
_cell_angle_beta 34.91
_cell_angle_gamma 34.91
_symmetry_space_group_name_H-M 'P 1'
_symmetry_Int_Tables_number 1
loop_
_symmetry_equiv_pos_as_xyz
'x,y,z'
loop_
_atom_site_label
_atom_site_type_symbol
_atom_site_fract_x
_atom_site_fract_y
_atom_site_fract_z
Tb1 Tb 0.000 0.000 0.000
Ge1 Ge 0.379 0.379 0.379
Ge2 Ge 0.621 0.621 0.621
Pb1 Pb 0.500 0.500 0.500
# Density   6.0 g/cm³
# Formation enthalpy at 0 K   0.252 eV/atom

***

Entry 18:
# Sm6AlNi2, relaxed, DFT GGA-PBE
data_Sm6AlNi2
_chemical_formula_sum 'Sm12 Al2 Ni4'
_cell_length_a 8.545
_cell_length_b 8.545
_cell_length_c 8.545
_cell_angle_alpha 113.98
_cell_angle_beta 108.68
_cell_angle_gamma 105.86
_symmetry_space_group_name_H-M 'P 1'
_symmetry_Int_Tables_number 1
loop_
_symmetry_equiv_pos_as_xyz
'x,y,z'
loop_
_atom_site_label
_atom_site_type_symbol
_atom_site_fract_x
_atom_site_fract_y
_atom_site_fract_z
Sm1 Sm 0.048 0.239 0.809
Sm2 Sm 0.177 0.288 0.465
Sm3 Sm 0.177 0.712 0.889
Sm4 Sm 0.329 0.016 0.687
Sm5 Sm 0.329 0.642 0.313
Sm6 Sm 0.429 0.239 0.191
Sm7 Sm 0.571 0.761 0.809
Sm8 Sm 0.671 0.358 0.687
Sm9 Sm 0.671 0.984 0.313
Sm10 Sm 0.823 0.288 0.111
Sm11 Sm 0.823 0.712 0.535
Sm12 Sm 0.952 0.761 0.191
Al1 Al 0.000 0.000 0.000
Al2 Al 0.500 0.500 0.000
Ni1 Ni 0.124 0.624 0.500
Ni2 Ni 0.296 0.000 0.296
Ni3 Ni 0.704 0.000 0.704
Ni4 Ni 0.876 0.376 0.500
# Density   7.3 g/cm³
# Formation enthalpy at 0 K   -0.254 eV/atom

***

Entry 19:
# Ba2CaMn, relaxed, DFT GGA-PBE
data_Ba2CaMn
_chemical_formula_sum 'Ba2 Ca1 Mn1'
_cell_length_a 12.141
_cell_length_b 12.141
_cell_length_c 12.141
_cell_angle_alpha 19.68
_cell_angle_beta 19.68
_cell_angle_gamma 19.68
_symmetry_space_group_name_H-M 'P 1'
_symmetry_Int_Tables_number 1
loop_
_symmetry_equiv_pos_as_xyz
'x,y,z'
loop_
_atom_site_label
_atom_site_type_symbol
_atom_site_fract_x
_atom_site_fract_y
_atom_site_fract_z
Ba1 Ba 0.233 0.233 0.233
Ba2 Ba 0.767 0.767 0.767
Ca1 Ca 0.000 0.000 0.000
Mn1 Mn 0.500 0.500 0.500
# Energy relative to the lowest polymorph listed for this composition   54 kJ/mol of formula units
# Density   3.5 g/cm³
# Formation enthalpy at 0 K   0.459 eV/atom

***

Entry 20:
# Sm2ThAg3, relaxed, DFT GGA-PBE
data_Sm2ThAg3
_chemical_formula_sum 'Sm2 Th1 Ag3'
_cell_length_a 3.672
_cell_length_b 3.672
_cell_length_c 11.435
_cell_angle_alpha 90.00
_cell_angle_beta 90.00
_cell_angle_gamma 90.00
_symmetry_space_group_name_H-M 'P 1'
_symmetry_Int_Tables_number 1
loop_
_symmetry_equiv_pos_as_xyz
'x,y,z'
loop_
_atom_site_label
_atom_site_type_symbol
_atom_site_fract_x
_atom_site_fract_y
_atom_site_fract_z
Sm1 Sm 0.000 0.000 0.164
Sm2 Sm 0.000 0.000 0.836
Th1 Th 0.000 0.000 0.500
Ag1 Ag 0.500 0.500 0.000
Ag2 Ag 0.500 0.500 0.325
Ag3 Ag 0.500 0.500 0.675
# Density   9.2 g/cm³
# Formation enthalpy at 0 K   -0.192 eV/atom